(1)
The following is a DFT calculation (SCAN) of K2NiAs2 at its PBEsol-relaxed geometry. Values from VASP.

```
&SYSTEM
  ibrav = 0, nat = 10, ntyp = 3
/
ATOMIC_SPECIES
K 39.10 K.upf
Ni 58.69 Ni.upf
As 74.92 As.upf
ATOMIC_POSITIONS crystal
K 0.0896 0.9104 0.7500
K 0.2923 0.7077 0.2500
K 0.7077 0.2923 0.7500
K 0.9104 0.0896 0.2500
Ni 0.5000 0.5000 0.0000
Ni 0.5000 0.5000 0.5000
As 0.2120 0.4140 0.7500
As 0.4140 0.2120 0.2500
As 0.5860 0.7880 0.7500
As 0.7880 0.5860 0.2500
CELL_PARAMETERS angstrom
3.2615 -6.9412 0.0000
3.2615 6.9412 0.0000
0.0000 0.0000 5.6602
```

## Properties
DFT formation energy in eV per atom: -0.52
Crystal system: orthorhombic
Magnetization in μB/f.u.: 0.00



(2)
The following is a DFT calculation (SCAN) of KNiAs at its PBEsol-relaxed geometry. Values from VASP.

```
&SYSTEM
  ibrav = 0, nat = 3, ntyp = 3
/
ATOMIC_SPECIES
K 39.10 K.upf
Ni 58.69 Ni.upf
As 74.92 As.upf
ATOMIC_POSITIONS crystal
K 0.0000 0.0000 0.0000
Ni 0.7249 0.7249 0.0000
As 0.2823 0.2823 0.0000
CELL_PARAMETERS angstrom
-1.6284 1.6284 5.8004
1.6284 -1.6284 5.8004
1.6284 1.6284 -5.8004
```

## Properties
DFT formation energy in eV per atom: -0.18
Crystal system: tetragonal
Magnetization in μB/f.u.: 0.00



(3)
The following is a DFT calculation (SCAN) of KNiAs at its PBEsol-relaxed geometry. Values from VASP.

```
&SYSTEM
  ibrav = 0, nat = 3, ntyp = 3
/
ATOMIC_SPECIES
K 39.10 K.upf
Ni 58.69 Ni.upf
As 74.92 As.upf
ATOMIC_POSITIONS crystal
K 0.0000 0.0000 0.0000
Ni 0.5000 0.5000 0.5000
As 0.7500 0.7500 0.7500
CELL_PARAMETERS angstrom
0.0000 3.2498 3.2498
3.2498 0.0000 3.2498
3.2498 3.2498 0.0000
```

## Properties
DFT formation energy in eV per atom: 0.56
Crystal system: cubic
Magnetization in μB/f.u.: 1.99



(4)
The following is a DFT calculation (SCAN) of K4Ni7As6O24 at its PBEsol-relaxed geometry. Values from VASP.

```
&SYSTEM
  ibrav = 0, nat = 41, ntyp = 4
/
ATOMIC_SPECIES
K 39.10 K.upf
Ni 58.69 Ni.upf
As 74.92 As.upf
O 16.00 O.upf
ATOMIC_POSITIONS crystal
K 0.0000 0.0000 0.0000
K 0.1968 0.4266 0.9834
K 0.4266 0.1968 0.9834
K 0.6269 0.6269 0.9365
Ni 0.0598 0.6804 0.2883
Ni 0.0770 0.3216 0.4653
Ni 0.3216 0.0770 0.4653
Ni 0.3339 0.7242 0.6316
Ni 0.6804 0.0598 0.2883
Ni 0.6940 0.6940 0.4520
Ni 0.7242 0.3339 0.6316
As 0.0036 0.0036 0.4985
As 0.3945 0.3945 0.4424
As 0.4126 0.8046 0.1845
As 0.6043 0.9780 0.7314
As 0.8046 0.4126 0.1845
As 0.9780 0.6043 0.7314
O 0.0039 0.4272 0.2397
O 0.0298 0.6934 0.9824
O 0.1049 0.7040 0.5949
O 0.1072 0.9155 0.3444
O 0.1536 0.1536 0.6655
O 0.2410 0.2410 0.2847
O 0.2887 0.6989 0.3204
O 0.2931 0.4878 0.5930
O 0.3580 0.7103 0.9353
O 0.4041 0.9693 0.6805
O 0.4272 0.0039 0.2397
O 0.4878 0.2931 0.5930
O 0.5028 0.5028 0.2999
O 0.5724 0.7772 0.6471
O 0.6114 0.8217 0.2632
O 0.6934 0.0298 0.9824
O 0.6989 0.2887 0.3204
O 0.7040 0.1049 0.5949
O 0.7103 0.3580 0.9353
O 0.7772 0.5724 0.6471
O 0.8217 0.6114 0.2632
O 0.8802 0.8802 0.6084
O 0.9155 0.1072 0.3444
O 0.9693 0.4041 0.6805
CELL_PARAMETERS angstrom
5.4477 -7.2036 0.0000
5.4477 7.2036 0.0000
-1.6836 0.0000 6.5085
```

## Properties
ΔE_f (raw) in eV/atom: -1.546
Crystal system: monoclinic
Magnetization in μB/f.u.: 14.00



(5)
The following is a DFT calculation (SCAN) of KReNiAs2 at its PBEsol-relaxed geometry. Values from VASP.

```
&SYSTEM
  ibrav = 0, nat = 5, ntyp = 4
/
ATOMIC_SPECIES
K 39.10 K.upf
Re 186.21 Re.upf
Ni 58.69 Ni.upf
As 74.92 As.upf
ATOMIC_POSITIONS crystal
K 0.0000 0.0000 0.0000
Re 0.5000 0.5000 0.5000
Ni 0.0000 0.0000 0.5000
As 0.0000 0.5000 0.0000
As 0.5000 0.0000 0.0000
CELL_PARAMETERS angstrom
5.0757 0.0000 0.0000
0.0000 5.0757 0.0000
0.0000 0.0000 4.1063
```

## Properties
DFT formation energy in eV per atom: 2.66
Crystal system: tetragonal
Magnetization in μB/f.u.: 3.06



(6)
The following is a DFT calculation (SCAN) of K5As3O10 at its PBEsol-relaxed geometry. Values from VASP.

```
&SYSTEM
  ibrav = 0, nat = 72, ntyp = 3
/
ATOMIC_SPECIES
K 39.10 K.upf
As 74.92 As.upf
O 16.00 O.upf
ATOMIC_POSITIONS crystal
K 0.0095 0.2408 0.1226
K 0.2242 0.4747 0.7342
K 0.2386 0.0049 0.4920
K 0.2422 0.5511 0.0303
K 0.2467 0.0010 0.2507
K 0.2533 0.9990 0.7507
K 0.2578 0.4489 0.5303
K 0.2614 0.9951 0.9920
K 0.2758 0.5253 0.2342
K 0.4905 0.7592 0.6226
K 0.5095 0.2592 0.8774
K 0.7242 0.0253 0.2658
K 0.7386 0.4951 0.5080
K 0.7422 0.9489 0.9697
K 0.7467 0.4990 0.7493
K 0.7533 0.5010 0.2493
K 0.7578 0.0511 0.4697
K 0.7614 0.5049 0.0080
K 0.7758 0.9747 0.7658
K 0.9905 0.7408 0.3774
As 0.0150 0.2678 0.8952
As 0.0263 0.2812 0.3522
As 0.0686 0.6712 0.8745
As 0.4314 0.3288 0.3745
As 0.4737 0.7188 0.8522
As 0.4850 0.7322 0.3952
As 0.5150 0.2322 0.1048
As 0.5263 0.2188 0.6478
As 0.5686 0.8288 0.1255
As 0.9314 0.1712 0.6255
As 0.9737 0.7812 0.1478
As 0.9850 0.7678 0.6048
O 0.0141 0.7463 0.9524
O 0.0244 0.9747 0.6433
O 0.0305 0.0847 0.3841
O 0.0334 0.7777 0.8015
O 0.0341 0.2840 0.2641
O 0.0368 0.2955 0.9822
O 0.1203 0.9104 0.1152
O 0.1648 0.6698 0.6262
O 0.1904 0.1989 0.8565
O 0.2172 0.3928 0.3818
O 0.2828 0.6072 0.8818
O 0.3096 0.8011 0.3565
O 0.3352 0.3302 0.1262
O 0.3797 0.0896 0.6152
O 0.4632 0.7045 0.4822
O 0.4659 0.7160 0.7641
O 0.4666 0.2223 0.3015
O 0.4695 0.9153 0.8841
O 0.4756 0.0253 0.1433
O 0.4859 0.2537 0.4524
O 0.5141 0.7537 0.0476
O 0.5244 0.5253 0.3567
O 0.5305 0.4153 0.6159
O 0.5334 0.7223 0.1985
O 0.5341 0.2160 0.7359
O 0.5368 0.2045 0.0178
O 0.6203 0.5896 0.8848
O 0.6648 0.8302 0.3738
O 0.6904 0.3011 0.1435
O 0.7172 0.1072 0.6182
O 0.7828 0.8928 0.1182
O 0.8096 0.6989 0.6435
O 0.8352 0.1698 0.8738
O 0.8797 0.4104 0.3848
O 0.9632 0.7955 0.5178
O 0.9659 0.7840 0.2359
O 0.9666 0.2777 0.6985
O 0.9695 0.5847 0.1159
O 0.9756 0.4747 0.8567
O 0.9859 0.2463 0.5476
CELL_PARAMETERS angstrom
7.9887 0.0000 0.0000
0.0000 7.9954 0.0000
0.0000 0.0000 19.2521
```

## Properties
ΔE_f (raw) in eV/atom: -1.800
Crystal system: orthorhombic
Magnetization in μB/f.u.: 0.11